# 1
Density functional theory data (GGA-PBE) for crystalline La12PmSm7 at its relaxed geometry.

## Properties
Energy above the most stable polymorph in this dataset = 0.003 eV per atom
Density = 6.58 g/cm³
M_tot = 0.00 Bohr magnetons per cell
V = 36.13 Å³ per atom
Energy of formation = 0.19 eV/atom

Cell lengths 6.4250, 11.5946, 11.5946 Å; angles 116.67, 100.64, 100.64 degrees
Positions (direct):
La1 0.9084 0.8152 0.4076
La2 0.4305 0.3560 0.9998
La3 0.4307 0.0002 0.3562
La4 0.0916 0.1848 0.5924
La5 0.0745 0.6438 0.6440
La6 0.5695 0.6440 0.0002
La7 0.0933 0.5924 0.1848
La8 0.9255 0.3562 0.3560
La9 0.9067 0.4076 0.8152
La10 0.5009 0.5924 0.4076
La11 0.4991 0.4076 0.5924
La12 0.5693 0.9998 0.6438
Sm1 0.8833 0.0001 0.2518
Sm2 0.1167 0.9999 0.7482
Sm3 0.6315 0.7482 0.7483
Sm4 0.3685 0.2518 0.2517
Sm5 0.1168 0.7483 0.0001
Sm6 0.5000 0.0000 0.0000
Sm7 0.8832 0.2517 0.9999
Pm1 0.0000 0.0000 0.0000


# 2
Density functional theory data (GGA-PBE) for crystalline La2Pm8Sm3 at its relaxed geometry.

## Properties
Energy above the most stable polymorph in this dataset = 0.059 eV per atom
Density = 6.70 g/cm³
M_tot = 0.00 Bohr magnetons per cell
V = 35.98 Å³ per atom
Energy of formation = 0.21 eV/atom

Cell lengths 5.7349, 7.7287, 11.2394 Å; angles 110.11, 90.02, 90.00 degrees
Positions (direct):
Sm1 0.0000 0.2880 0.0000
Sm2 0.5000 0.0000 0.0000
Sm3 0.0000 0.7120 0.0000
Pm1 0.0002 0.8702 0.7405
Pm2 0.9998 0.1298 0.2595
Pm3 0.5001 0.3961 0.2083
Pm4 0.9995 0.3346 0.6691
Pm5 0.4999 0.1879 0.7917
Pm6 0.4999 0.6039 0.7917
Pm7 0.0005 0.6654 0.3309
Pm8 0.5001 0.8121 0.2083
La1 0.4992 0.2422 0.4843
La2 0.5008 0.7578 0.5157


# 3
Density functional theory data (GGA-PBE) for crystalline LaPm8Sm2 at its relaxed geometry.

## Properties
Energy above the most stable polymorph in this dataset = 0.033 eV per atom
Density = 6.70 g/cm³
M_tot = 0.00 Bohr magnetons per cell
V = 36.02 Å³ per atom
Energy of formation = 0.14 eV/atom

Cell lengths 5.7041, 10.3896, 10.3896 Å; angles 40.15, 93.26, 93.26 degrees
Positions (direct):
Pm1 0.7682 0.8123 0.8123
Pm2 0.7319 0.3996 0.8644
Pm3 0.7609 0.4554 0.4554
Pm4 0.7319 0.8644 0.3996
Pm5 0.2391 0.5446 0.5446
Pm6 0.2318 0.1877 0.1877
Pm7 0.2681 0.1356 0.6004
Pm8 0.2681 0.6004 0.1356
La1 0.0000 0.0000 0.0000
Sm1 0.2552 0.7156 0.7156
Sm2 0.7448 0.2844 0.2844


# 4
Density functional theory data (GGA-PBE) for crystalline La2Pm3Sm3 at its relaxed geometry.

## Properties
Energy above the most stable polymorph in this dataset = 0.106 eV per atom
Density = 6.86 g/cm³
M_tot = 0.00 Bohr magnetons per cell
V = 35.20 Å³ per atom
Energy of formation = 0.12 eV/atom

Cell lengths 3.5915, 8.8629, 18.0703 Å; angles 90.00, 90.00, 101.69 degrees
Positions (direct):
La1 0.7618 0.5236 0.8463
La2 0.2382 0.4764 0.1537
La3 0.7618 0.5236 0.6537
La4 0.2382 0.4764 0.3463
Pm1 0.6525 0.3050 0.0012
Pm2 0.3475 0.6950 0.5012
Pm3 0.6525 0.3050 0.4988
Pm4 0.5960 0.1919 0.7500
Pm5 0.3475 0.6950 0.9988
Pm6 0.4040 0.8081 0.2500
Sm1 0.5916 0.1832 0.2500
Sm2 0.0015 0.0030 0.8988
Sm3 0.0015 0.0030 0.6012
Sm4 0.9985 0.9970 0.1012
Sm5 0.4084 0.8168 0.7500
Sm6 0.9985 0.9970 0.3988


# 5
Density functional theory data (GGA-PBE) for crystalline LaPm3Sm2 at its relaxed geometry.

## Properties
Density = 7.04 g/cm³
M_tot = 0.00 Bohr magnetons per cell
V = 34.37 Å³ per atom
Energy of formation = 0.18 eV/atom

Cell lengths 6.8385, 7.7665, 7.7665 Å; angles 90.22, 90.00, 90.00 degrees
Positions (direct):
La1 0.2500 0.1027 0.1027
La2 0.7500 0.8973 0.8973
Pm1 0.5000 0.7482 0.2518
Pm2 0.2500 0.4040 0.4040
Pm3 0.0000 0.2518 0.7482
Pm4 0.0000 0.7482 0.2518
Pm5 0.7500 0.5960 0.5960
Pm6 0.5000 0.2518 0.7482
Sm1 0.7500 0.0966 0.4052
Sm2 0.7500 0.4052 0.0966
Sm3 0.2500 0.9034 0.5948
Sm4 0.2500 0.5948 0.9034


# 6
Density functional theory data (GGA-PBE) for crystalline LaPm5Sm5 at its relaxed geometry.

## Properties
Energy above the most stable polymorph in this dataset = 0.000 eV per atom
Density = 7.08 g/cm³
M_tot = 0.00 Bohr magnetons per cell
V = 34.47 Å³ per atom
Energy of formation = 0.02 eV/atom

Cell lengths 6.3134, 5.1718, 13.1902 Å; angles 101.41, 94.34, 114.17 degrees
Positions (direct):
Pm1 0.1191 0.9681 0.7719
Pm2 0.9383 0.1506 0.3178
Pm3 0.8485 0.2426 0.5909
Pm4 0.2108 0.8777 0.4991
Pm5 0.5761 0.5154 0.4095
Sm1 0.7572 0.3325 0.8627
Sm2 0.6692 0.4261 0.1374
Sm3 0.3043 0.7889 0.2285
Sm4 0.4833 0.6048 0.6805
Sm5 0.0318 0.0623 0.0470
La1 0.3947 0.6975 0.9548


# 7
Density functional theory data (GGA-PBE) for crystalline LaPm7Sm3 at its relaxed geometry.

## Properties
Energy above the most stable polymorph in this dataset = 0.026 eV per atom
Density = 6.78 g/cm³
M_tot = 0.00 Bohr magnetons per cell
V = 35.76 Å³ per atom
Energy of formation = 0.20 eV/atom

Cell lengths 6.5082, 7.8377, 7.8377 Å; angles 81.32, 85.80, 85.80 degrees
Positions (direct):
La1 0.5000 0.5000 0.5000
Pm1 0.2599 0.0763 0.4254
Pm2 0.7401 0.9237 0.5746
Pm3 0.7905 0.2358 0.2358
Pm4 0.2095 0.7642 0.7642
Pm5 0.0000 0.5000 0.5000
Pm6 0.7401 0.5746 0.9237
Pm7 0.2599 0.4254 0.0763
Sm1 0.0000 0.1717 0.8283
Sm2 0.0000 0.8283 0.1717
Sm3 0.5000 0.0000 0.0000


# 8
Density functional theory data (GGA-PBE) for crystalline La8Pm3Sm2 at its relaxed geometry.

## Properties
Energy above the most stable polymorph in this dataset = 0.000 eV per atom
Density = 6.55 g/cm³
M_tot = 0.00 Bohr magnetons per cell
V = 35.99 Å³ per atom
Energy of formation = 0.14 eV/atom

Cell lengths 6.2964, 9.0657, 9.0657 Å; angles 81.66, 72.11, 72.11 degrees
Positions (direct):
La1 0.7842 0.4563 0.4563
La2 0.3385 0.4356 0.9028
La3 0.3385 0.9028 0.4356
La4 0.6615 0.5644 0.0972
La5 0.9219 0.1378 0.1378
La6 0.6615 0.0972 0.5644
La7 0.2158 0.5437 0.5437
La8 0.0781 0.8622 0.8622
Pm1 0.0000 0.7522 0.2478
Pm2 0.0000 0.2478 0.7522
Pm3 0.5000 0.0000 0.0000
Sm1 0.2984 0.2848 0.2848
Sm2 0.7016 0.7152 0.7152


Q: Which formula does entry 7 have?
A: LaPm7Sm3